No. 1
The following is a DFT calculation (PBEsol) of a relaxed KTiTeI2 crystal.

total moment: 1.0 μB/f.u.
calculated total energy: -2.64 eV per atom
space-group type: P4/mmm (123)
energy relative to the elements, uncorrected: 0.66 eV per atom

Lattice parameters (Å, degrees): 5.990 5.990 6.033 90.00 90.00 90.00
Positions (direct):
I (0.000, 0.500, 0.000)
I (0.500, 0.000, 0.000)
K (0.000, 0.000, 0.000)
Te (0.000, 0.000, 0.500)
Ti (0.500, 0.500, 0.500)

***

No. 2
The following is a DFT calculation (PBEsol) of a relaxed KTeWI2 crystal.

total moment: 2.2 μB/f.u.
calculated total energy: -4.39 eV per atom
space-group type: P4/mmm (123)
energy relative to the elements, uncorrected: 0.01 eV per atom

Lattice parameters (Å, degrees): 5.197 5.733 5.733 90.00 90.00 90.00
Positions (direct):
I (0.000, 0.000, 0.500)
I (0.000, 0.500, 0.000)
K (0.500, 0.500, 0.500)
Te (0.500, 0.000, 0.000)
W (0.000, 0.000, 0.000)

***

No. 3
The following is a DFT calculation (PBEsol) of a relaxed KYTe2I crystal.

total moment: 0.0 μB/f.u.
calculated total energy: -4.36 eV per atom
space-group type: P4/mmm (123)
energy relative to the elements, uncorrected: -1.00 eV per atom

Lattice parameters (Å, degrees): 5.807 5.807 6.079 90.00 90.00 90.00
Positions (direct):
I (0.000, 0.000, 0.500)
Y (0.000, 0.000, 0.000)
K (0.500, 0.500, 0.500)
Te (0.000, 0.500, 0.000)
Te (0.500, 0.000, 0.000)

***

No. 4
The following is a DFT calculation (PBEsol) of a relaxed KZnTeI2 crystal.

total moment: 0.0 μB/f.u.
calculated total energy: -2.44 eV per atom
space-group type: P4/mmm (123)
energy relative to the elements, uncorrected: -0.49 eV per atom

Lattice parameters (Å, degrees): 5.244 5.752 5.752 90.00 90.00 90.00
Positions (direct):
I (0.000, 0.000, 0.500)
I (0.000, 0.500, 0.000)
Zn (0.000, 0.000, 0.000)
Te (0.500, 0.000, 0.000)
K (0.500, 0.500, 0.500)

***

No. 5
The following is a DFT calculation (PBEsol) of a relaxed KTi2I2 crystal.

total moment: 0.9 μB/f.u.
calculated total energy: -4.30 eV per atom
space-group type: I4/mmm (139)
energy relative to the elements, uncorrected: -0.04 eV per atom

Lattice parameters (Å, degrees): 5.352 5.808 5.352 62.56 90.00 117.44
Positions (direct):
I (0.750, 0.500, 0.750)
I (0.250, 0.500, 0.250)
K (0.000, 0.000, 0.000)
Ti (0.611, 0.221, 0.389)
Ti (0.389, 0.779, 0.611)

***

No. 6
The following is a DFT calculation (PBEsol) of a relaxed KTl2I crystal.

total moment: 0.0 μB/f.u.
calculated total energy: -2.16 eV per atom
space-group type: Fm-3m (225)
energy relative to the elements, uncorrected: -0.12 eV per atom

Lattice parameters (Å, degrees): 5.813 5.813 5.813 60.00 60.00 60.00
Positions (direct):
I (0.500, 0.500, 0.500)
Tl (0.250, 0.250, 0.250)
Tl (0.750, 0.750, 0.750)
K (0.000, 0.000, 0.000)

***

No. 7
The following is a DFT calculation (PBEsol) of a relaxed K2WI crystal.

total moment: 5.0 μB/f.u.
calculated total energy: -3.39 eV per atom
space-group type: Fm-3m (225)
energy relative to the elements, uncorrected: 1.07 eV per atom

Lattice parameters (Å, degrees): 5.940 5.940 5.940 60.00 60.00 60.00
Positions (direct):
I (0.000, 0.000, 0.000)
K (0.250, 0.250, 0.250)
K (0.750, 0.750, 0.750)
W (0.500, 0.500, 0.500)

***

No. 8
The following is a DFT calculation (PBEsol) of a relaxed K3YI crystal.

total moment: 2.5 μB/f.u.
calculated total energy: -2.31 eV per atom
space-group type: Pm-3m (221)
energy relative to the elements, uncorrected: 0.09 eV per atom

Lattice parameters (Å, degrees): 6.574 6.574 6.574 90.00 90.00 90.00
Positions (direct):
I (0.000, 0.000, 0.000)
Y (0.500, 0.500, 0.500)
K (0.000, 0.500, 0.000)
K (0.000, 0.000, 0.500)
K (0.500, 0.000, 0.000)